Entry 1:
# MgZnSe

A relaxed structure of MgZnSe (PBE, the Alexandria database).

```
data_MgZnSe
_chemical_formula_sum 'Mg1 Zn1 Se1'
_space_group_name_H-M_alt 'P 1'
_space_group_IT_number 1
_cell_length_a 6.410
_cell_length_b 5.930
_cell_length_c 3.649
_cell_angle_alpha 80.17
_cell_angle_beta 65.72
_cell_angle_gamma 34.11
loop_
_space_group_symop_operation_xyz
'x,y,z'
loop_
_atom_site_label
_atom_site_fract_x
_atom_site_fract_y
_atom_site_fract_z
Se1 0.669 0.669 0.331
Zn1 0.320 0.320 0.680
Mg1 0.011 0.011 0.989
```

## Properties
For the uncorrected formation energy, the calculation gives -0.72 eV/f.u. The crystal system is orthorhombic. The density of states at the Fermi level comes out at 0.23 states/eV per atom. The calculation puts the polymorph energy (0 for the lowest one) at 369 meV per atom.

Entry 2:
# MgZn2Se

A relaxed structure of MgZn2Se (PBE, the Alexandria database).

```
data_MgZn2Se
_chemical_formula_sum 'Mg1 Zn2 Se1'
_space_group_name_H-M_alt 'P 1'
_space_group_IT_number 1
_cell_length_a 6.570
_cell_length_b 6.570
_cell_length_c 3.713
_cell_angle_alpha 73.25
_cell_angle_beta 73.25
_cell_angle_gamma 32.86
loop_
_space_group_symop_operation_xyz
'x,y,z'
loop_
_atom_site_label
_atom_site_fract_x
_atom_site_fract_y
_atom_site_fract_z
Zn1 0.499 0.499 0.501
Se1 0.250 0.250 0.250
Zn2 0.001 0.001 0.999
Mg1 0.750 0.750 0.750
```

## Properties
For the uncorrected formation energy, the calculation gives -1.16 eV/f.u. The crystal system is monoclinic. The density of states at the Fermi level comes out at 0.17 states/eV per atom.

Entry 3:
# MgZnSe

A relaxed structure of MgZnSe (PBE, the Alexandria database).

```
data_MgZnSe
_chemical_formula_sum 'Mg3 Zn3 Se3'
_space_group_name_H-M_alt 'P 1'
_space_group_IT_number 1
_cell_length_a 9.484
_cell_length_b 9.484
_cell_length_c 3.662
_cell_angle_alpha 90.00
_cell_angle_beta 90.00
_cell_angle_gamma 141.46
loop_
_space_group_symop_operation_xyz
'x,y,z'
loop_
_atom_site_label
_atom_site_fract_x
_atom_site_fract_y
_atom_site_fract_z
Mg1 0.299 0.862 0.000
Zn1 0.565 0.310 0.000
Se1 0.589 0.952 0.500
Zn2 0.830 0.830 0.500
Se2 0.952 0.589 0.500
Se3 0.445 0.445 0.500
Mg2 0.149 0.149 0.000
Mg3 0.862 0.299 0.000
Zn3 0.310 0.565 0.000
```

## Properties
For the uncorrected formation energy, the calculation gives -1.09 eV/f.u. The crystal system is orthorhombic. The density of states at the Fermi level comes out at 0.25 states/eV per atom. The calculation puts the polymorph energy (0 for the lowest one) at 246 meV per atom.

Entry 4:
# Mg2ZnSe

A relaxed structure of Mg2ZnSe (PBE, the Alexandria database).

```
data_Mg2ZnSe
_chemical_formula_sum 'Mg2 Zn1 Se1'
_space_group_name_H-M_alt 'P 1'
_space_group_IT_number 1
_cell_length_a 4.903
_cell_length_b 4.903
_cell_length_c 4.903
_cell_angle_alpha 60.00
_cell_angle_beta 60.00
_cell_angle_gamma 60.00
loop_
_space_group_symop_operation_xyz
'x,y,z'
loop_
_atom_site_label
_atom_site_fract_x
_atom_site_fract_y
_atom_site_fract_z
Zn1 0.000 0.000 0.000
Se1 0.500 0.500 0.500
Mg1 0.750 0.750 0.750
Mg2 0.250 0.250 0.250
```

## Properties
For the uncorrected formation energy, the calculation gives -0.74 eV/f.u. The crystal system is cubic. The density of states at the Fermi level comes out at 0.29 states/eV per atom. The calculation puts the polymorph energy (0 for the lowest one) at 302 meV per atom.

Entry 5:
# Mg2Zn2Se

A relaxed structure of Mg2Zn2Se (PBE, the Alexandria database).

```
data_Mg2Zn2Se
_chemical_formula_sum 'Mg4 Zn4 Se2'
_space_group_name_H-M_alt 'P 1'
_space_group_IT_number 1
_cell_length_a 7.040
_cell_length_b 7.040
_cell_length_c 4.329
_cell_angle_alpha 90.00
_cell_angle_beta 90.00
_cell_angle_gamma 90.00
loop_
_space_group_symop_operation_xyz
'x,y,z'
loop_
_atom_site_label
_atom_site_fract_x
_atom_site_fract_y
_atom_site_fract_z
Zn1 0.137 0.637 0.500
Se1 0.000 0.000 0.000
Mg1 0.161 0.339 0.000
Zn2 0.863 0.363 0.500
Se2 0.500 0.500 0.000
Mg2 0.839 0.661 0.000
Mg3 0.661 0.161 0.000
Mg4 0.339 0.839 0.000
Zn3 0.363 0.137 0.500
Zn4 0.637 0.863 0.500
```

## Properties
For the uncorrected formation energy, the calculation gives -0.70 eV/f.u. The crystal system is tetragonal. The density of states at the Fermi level comes out at 0.46 states/eV per atom. The calculation puts the polymorph energy (0 for the lowest one) at 203 meV per atom.

Entry 6:
# Mg2ZnSe

A relaxed structure of Mg2ZnSe (PBE, the Alexandria database).

```
data_Mg2ZnSe
_chemical_formula_sum 'Mg2 Zn1 Se1'
_space_group_name_H-M_alt 'P 1'
_space_group_IT_number 1
_cell_length_a 5.143
_cell_length_b 5.143
_cell_length_c 5.143
_cell_angle_alpha 128.93
_cell_angle_beta 128.93
_cell_angle_gamma 75.13
loop_
_space_group_symop_operation_xyz
'x,y,z'
loop_
_atom_site_label
_atom_site_fract_x
_atom_site_fract_y
_atom_site_fract_z
Se1 0.250 0.750 0.500
Zn1 0.750 0.250 0.500
Mg1 0.500 0.500 0.000
Mg2 0.000 0.000 0.000
```

## Properties
For the uncorrected formation energy, the calculation gives -0.94 eV/f.u. The crystal system is tetragonal. The density of states at the Fermi level comes out at 0.28 states/eV per atom. The calculation puts the polymorph energy (0 for the lowest one) at 250 meV per atom.

Entry 7:
# MgZn2Se

A relaxed structure of MgZn2Se (PBE, the Alexandria database).

```
data_MgZn2Se
_chemical_formula_sum 'Mg2 Zn4 Se2'
_space_group_name_H-M_alt 'P 1'
_space_group_IT_number 1
_cell_length_a 3.734
_cell_length_b 3.734
_cell_length_c 11.649
_cell_angle_alpha 90.00
_cell_angle_beta 90.00
_cell_angle_gamma 90.00
loop_
_space_group_symop_operation_xyz
'x,y,z'
loop_
_atom_site_label
_atom_site_fract_x
_atom_site_fract_y
_atom_site_fract_z
Mg1 0.750 0.250 0.750
Zn1 0.750 0.250 0.482
Zn2 0.250 0.750 0.518
Zn3 0.750 0.250 0.018
Mg2 0.250 0.750 0.250
Zn4 0.250 0.750 0.982
Se1 0.750 0.250 0.250
Se2 0.250 0.750 0.750
```

## Properties
For the uncorrected formation energy, the calculation gives -1.46 eV/f.u. The crystal system is tetragonal. The density of states at the Fermi level comes out at 0.13 states/eV per atom.

Entry 8:
# MgZnSe

A relaxed structure of MgZnSe (PBE, the Alexandria database).

```
data_MgZnSe
_chemical_formula_sum 'Mg4 Zn4 Se4'
_space_group_name_H-M_alt 'P 1'
_space_group_IT_number 1
_cell_length_a 3.691
_cell_length_b 6.408
_cell_length_c 11.167
_cell_angle_alpha 90.00
_cell_angle_beta 90.00
_cell_angle_gamma 90.00
loop_
_space_group_symop_operation_xyz
'x,y,z'
loop_
_atom_site_label
_atom_site_fract_x
_atom_site_fract_y
_atom_site_fract_z
Mg1 0.500 0.726 0.507
Zn1 0.500 0.577 0.782
Se1 0.000 0.466 0.610
Zn2 0.500 0.077 0.218
Se2 0.000 0.092 0.890
Zn3 0.500 0.481 0.282
Mg2 0.500 0.832 0.993
Mg3 0.500 0.332 0.007
Mg4 0.500 0.226 0.493
Se3 0.000 0.966 0.390
Se4 0.000 0.592 0.110
Zn4 0.500 0.981 0.718
```

## Properties
For the uncorrected formation energy, the calculation gives -1.47 eV/f.u. The crystal system is orthorhombic. The density of states at the Fermi level comes out at 0.05 states/eV per atom. The calculation puts the polymorph energy (0 for the lowest one) at 120 meV per atom.

Entry 9:
# Mg2ZnSe

A relaxed structure of Mg2ZnSe (PBE, the Alexandria database).

```
data_Mg2ZnSe
_chemical_formula_sum 'Mg4 Zn2 Se2'
_space_group_name_H-M_alt 'P 1'
_space_group_IT_number 1
_cell_length_a 9.261
_cell_length_b 9.261
_cell_length_c 5.189
_cell_angle_alpha 90.00
_cell_angle_beta 90.00
_cell_angle_gamma 156.31
loop_
_space_group_symop_operation_xyz
'x,y,z'
loop_
_atom_site_label
_atom_site_fract_x
_atom_site_fract_y
_atom_site_fract_z
Se1 0.203 0.797 0.750
Mg1 0.939 0.061 0.250
Mg2 0.805 0.195 0.750
Mg3 0.195 0.805 0.250
Se2 0.797 0.203 0.250
Mg4 0.061 0.939 0.750
Zn1 0.447 0.553 0.750
Zn2 0.553 0.447 0.250
```

## Properties
For the uncorrected formation energy, the calculation gives -1.65 eV/f.u. The crystal system is orthorhombic. The density of states at the Fermi level comes out at 0.33 states/eV per atom. The calculation puts the polymorph energy (0 for the lowest one) at 74 meV per atom.

Entry 10:
# MgZn2Se

A relaxed structure of MgZn2Se (PBE, the Alexandria database).

```
data_MgZn2Se
_chemical_formula_sum 'Mg2 Zn4 Se2'
_space_group_name_H-M_alt 'P 1'
_space_group_IT_number 1
_cell_length_a 5.785
_cell_length_b 5.785
_cell_length_c 6.435
_cell_angle_alpha 90.00
_cell_angle_beta 90.00
_cell_angle_gamma 129.68
loop_
_space_group_symop_operation_xyz
'x,y,z'
loop_
_atom_site_label
_atom_site_fract_x
_atom_site_fract_y
_atom_site_fract_z
Se1 0.402 0.402 0.250
Mg1 0.000 0.000 0.500
Se2 0.598 0.598 0.750
Zn1 0.394 0.855 0.250
Zn2 0.855 0.394 0.250
Mg2 0.000 0.000 0.000
Zn3 0.606 0.145 0.750
Zn4 0.145 0.606 0.750
```

## Properties
For the uncorrected formation energy, the calculation gives -0.62 eV/f.u. The crystal system is orthorhombic. The density of states at the Fermi level comes out at 0.22 states/eV per atom.

Entry 11:
# MgZnSe

A relaxed structure of MgZnSe (PBE, the Alexandria database).

```
data_MgZnSe
_chemical_formula_sum 'Mg4 Zn4 Se4'
_space_group_name_H-M_alt 'P 1'
_space_group_IT_number 1
_cell_length_a 6.974
_cell_length_b 4.059
_cell_length_c 9.289
_cell_angle_alpha 90.00
_cell_angle_beta 90.00
_cell_angle_gamma 90.00
loop_
_space_group_symop_operation_xyz
'x,y,z'
loop_
_atom_site_label
_atom_site_fract_x
_atom_site_fract_y
_atom_site_fract_z
Mg1 0.332 0.250 0.392
Mg2 0.168 0.250 0.892
Zn1 0.910 0.250 0.445
Se1 0.053 0.250 0.183
Se2 0.447 0.250 0.683
Zn2 0.590 0.250 0.945
Se3 0.553 0.750 0.317
Mg3 0.668 0.750 0.608
Se4 0.947 0.750 0.817
Zn3 0.090 0.750 0.555
Mg4 0.832 0.750 0.108
Zn4 0.410 0.750 0.055
```

## Properties
For the uncorrected formation energy, the calculation gives -1.62 eV/f.u. The crystal system is orthorhombic. The density of states at the Fermi level comes out at 0.15 states/eV per atom. The calculation puts the polymorph energy (0 for the lowest one) at 71 meV per atom.

Entry 12:
# Mg2ZnSe

A relaxed structure of Mg2ZnSe (PBE, the Alexandria database).

```
data_Mg2ZnSe
_chemical_formula_sum 'Mg4 Zn2 Se2'
_space_group_name_H-M_alt 'P 1'
_space_group_IT_number 1
_cell_length_a 14.853
_cell_length_b 14.853
_cell_length_c 3.756
_cell_angle_alpha 90.00
_cell_angle_beta 90.00
_cell_angle_gamma 165.87
loop_
_space_group_symop_operation_xyz
'x,y,z'
loop_
_atom_site_label
_atom_site_fract_x
_atom_site_fract_y
_atom_site_fract_z
Se1 0.061 0.939 0.750
Mg1 0.723 0.277 0.750
Mg2 0.277 0.723 0.250
Mg3 0.553 0.447 0.250
Se2 0.939 0.061 0.250
Zn1 0.652 0.348 0.250
Mg4 0.447 0.553 0.750
Zn2 0.348 0.652 0.750
```

## Properties
For the uncorrected formation energy, the calculation gives -0.78 eV/f.u. The crystal system is orthorhombic. The density of states at the Fermi level comes out at 0.23 states/eV per atom. The calculation puts the polymorph energy (0 for the lowest one) at 290 meV per atom.